Here is a relaxed structure of BaBeTe2 from the Alexandria database. Energies are from PBE.

Properties
The total moment is 0.000 μB/f.u. The uncorrected formation energy comes out at -0.5624 eV per atom.

Structure (POSCAR):
```
BaBeTe2
1.0
3.948 0.000 0.000
0.000 6.665 0.000
0.000 0.000 9.368
Ba Be Te
2 2 4
Cartesian
0.000 0.000 0.000 Ba
1.974 3.333 4.684 Ba
0.000 0.000 4.684 Be
1.974 3.333 0.000 Be
0.000 3.333 1.688 Te
0.000 3.333 7.680 Te
1.974 0.000 2.996 Te
1.974 0.000 6.372 Te
```

=====

Here is a relaxed structure of BaBeTe2 from the Alexandria database. Energies are from PBE.

Properties
The total moment is 0.000 μB/f.u. The uncorrected formation energy comes out at -0.8649 eV per atom.

Structure (POSCAR):
```
BaBeTe2
1.0
5.169 0.000 0.000
0.000 4.353 0.000
-2.574 0.000 6.409
Ba Be Te
1 1 2
Cartesian
0.000 0.000 0.000 Ba
0.010 2.176 4.797 Be
0.011 0.000 3.635 Te
2.585 2.176 0.745 Te
```

=====

Here is a relaxed structure of BaBeTe2 from the Alexandria database. Energies are from PBE.

Properties
The total moment is 0.000 μB/f.u. The uncorrected formation energy comes out at -0.1291 eV per atom.

Structure (POSCAR):
```
BaBeTe2
1.0
4.003 0.000 0.000
0.000 4.003 0.000
0.000 0.000 7.428
Ba Be Te
1 1 2
Cartesian
0.000 0.000 0.000 Ba
0.000 0.000 3.714 Be
2.002 2.002 2.119 Te
2.002 2.002 5.309 Te
```

=====

Here is a relaxed structure of Ba2BeTe from the Alexandria database. Energies are from PBE.

Properties
The calculation puts the energy relative to the lowest polymorph listed for this composition at 340 meV per atom. The total moment is 0.283 μB/f.u. The uncorrected formation energy comes out at -0.2926 eV per atom.

Structure (POSCAR):
```
Ba2BeTe
1.0
4.280 0.000 0.000
-2.140 3.707 0.000
0.000 0.000 28.146
Ba Be Te
6 3 3
Cartesian
0.000 0.000 0.000 Ba
0.000 0.000 5.272 Ba
0.000 2.471 18.764 Ba
0.000 2.471 24.036 Ba
2.140 1.236 9.382 Ba
2.140 1.236 14.654 Ba
0.000 0.000 20.911 Be
0.000 2.471 11.529 Be
2.140 1.236 2.147 Be
0.000 0.000 12.114 Te
0.000 2.471 2.732 Te
2.140 1.236 21.496 Te
```

=====

Here is a relaxed structure of Ba2BeTe from the Alexandria database. Energies are from PBE.

Properties
The calculation puts the energy relative to the lowest polymorph listed for this composition at 28 meV per atom. The total moment is 0.000 μB/f.u. The uncorrected formation energy comes out at -0.6048 eV per atom.

Structure (POSCAR):
```
Ba2BeTe
1.0
4.398 0.000 0.000
0.000 15.464 0.000
0.000 0.000 9.422
Ba Be Te
8 4 4
Cartesian
0.000 0.000 0.000 Ba
0.000 0.000 3.639 Ba
0.000 4.800 1.203 Ba
0.000 10.664 1.203 Ba
2.199 2.932 5.914 Ba
2.199 7.732 4.711 Ba
2.199 7.732 8.350 Ba
2.199 12.532 5.914 Ba
1.090 7.732 1.834 Be
1.109 0.000 6.545 Be
3.289 0.000 6.545 Be
3.308 7.732 1.834 Be
0.000 5.441 6.847 Te
0.000 10.023 6.847 Te
2.199 2.291 2.136 Te
2.199 13.172 2.136 Te
```

=====

Here is a relaxed structure of BaBeTe2W from the Alexandria database. Energies are from PBE.

Properties
The total moment is 0.228 μB/f.u. The uncorrected formation energy comes out at 2.2925 eV per atom.

Structure (POSCAR):
```
BaBeTe2W
1.0
6.311 0.000 0.000
0.000 6.311 0.000
0.000 0.000 5.296
Ba Be Te W
1 1 2 1
Cartesian
0.000 0.000 0.000 Ba
0.000 0.000 2.648 Be
0.000 3.155 0.000 Te
3.155 0.000 0.000 Te
3.155 3.155 2.648 W
```

=====

Here is a relaxed structure of BaBeZn2Te from the Alexandria database. Energies are from PBE.

Properties
The total moment is 0.000 μB/f.u. The uncorrected formation energy comes out at 1.1194 eV per atom.

Structure (POSCAR):
```
BaBeZn2Te
1.0
6.025 0.000 0.000
0.000 6.025 0.000
0.000 0.000 5.770
Ba Be Zn Te
1 1 2 1
Cartesian
0.000 0.000 0.000 Ba
0.000 0.000 2.885 Be
0.000 3.012 0.000 Zn
3.012 0.000 0.000 Zn
3.012 3.012 2.885 Te
```

=====

Here is a relaxed structure of BaTi3Be from the Alexandria database. Energies are from PBE.

Properties
The energy relative to the elements is 709 meV per atom. The calculation puts the energy relative to the lowest polymorph listed for this composition at 0 meV per atom. The total moment is 0.000 μB/f.u.

Structure (POSCAR):
```
BaTi3Be
1.0
4.723 0.000 0.000
0.000 4.723 0.000
0.000 0.000 4.723
Ba Ti Be
1 3 1
Cartesian
0.000 0.000 0.000 Ba
0.000 2.361 2.361 Ti
2.361 0.000 2.361 Ti
2.361 2.361 0.000 Ti
2.361 2.361 2.361 Be
```

=====

Here is a relaxed structure of BaTi2Be from the Alexandria database. Energies are from PBE.

Properties
The energy relative to the elements is 968 meV per atom. The total moment is 0.000 μB/f.u.

Structure (POSCAR):
```
BaTi2Be
1.0
4.660 0.000 0.000
0.000 4.660 0.000
0.000 0.000 19.454
Ba Ti Be
4 8 4
Cartesian
0.000 0.000 0.000 Ba
0.000 2.330 4.863 Ba
2.330 0.000 14.590 Ba
2.330 2.330 9.727 Ba
0.158 1.165 12.158 Ti
1.165 2.488 17.022 Ti
1.165 4.502 7.295 Ti
2.172 1.165 2.432 Ti
2.488 3.495 2.432 Ti
3.495 0.158 7.295 Ti
3.495 2.172 17.022 Ti
4.502 3.495 12.158 Ti
0.000 0.000 9.727 Be
0.000 2.330 14.590 Be
2.330 0.000 4.863 Be
2.330 2.330 0.000 Be
```

=====

Here is a relaxed structure of BaTi3Be from the Alexandria database. Energies are from PBE.

Properties
The energy relative to the elements is 2138 meV per atom. The calculation puts the energy relative to the lowest polymorph listed for this composition at 1429 meV per atom. The total moment is 1.312 μB/f.u.

Structure (POSCAR):
```
BaTi3Be
1.0
4.928 0.000 0.000
0.000 4.928 0.000
0.000 0.000 4.928
Ba Ti Be
1 3 1
Cartesian
0.000 0.000 0.000 Ba
0.000 0.000 2.464 Ti
0.000 2.464 0.000 Ti
2.464 0.000 0.000 Ti
2.464 2.464 2.464 Be
```

=====

Here is a relaxed structure of BaTiBe2W from the Alexandria database. Energies are from PBE.

Properties
The energy relative to the elements is 2782 meV per atom. The total moment is 0.000 μB/f.u.

Structure (POSCAR):
```
BaTiBe2W
1.0
4.534 0.000 0.000
0.000 4.534 0.000
0.000 0.000 4.943
Ba Ti Be W
1 1 2 1
Cartesian
0.000 0.000 0.000 Ba
0.000 0.000 2.472 Ti
0.000 2.267 0.000 Be
2.267 0.000 0.000 Be
2.267 2.267 2.472 W
```

=====

Here is a relaxed structure of BaBeTl3 from the Alexandria database. Energies are from PBE.

Properties
The energy relative to the elements is 1222 meV per atom. The calculation puts the energy relative to the lowest polymorph listed for this composition at 1192 meV per atom. The total moment is 0.001 μB/f.u.

Structure (POSCAR):
```
BaBeTl3
1.0
6.636 0.000 0.000
0.000 6.636 0.000
0.000 0.000 6.636
Ba Be Tl
1 1 3
Cartesian
0.000 0.000 0.000 Ba
3.318 3.318 3.318 Be
0.000 0.000 3.318 Tl
0.000 3.318 0.000 Tl
3.318 0.000 0.000 Tl
```

=====

Here is a relaxed structure of BaBeTl from the Alexandria database. Energies are from PBE.

Properties
The energy relative to the elements is 312 meV per atom. The calculation puts the energy relative to the lowest polymorph listed for this composition at 220 meV per atom. The total moment is 0.000 μB/f.u.

Structure (POSCAR):
```
BaBeTl
1.0
3.642 0.000 0.000
0.000 3.642 0.000
0.000 0.000 12.604
Ba Be Tl
2 2 2
Cartesian
0.000 0.000 0.000 Ba
1.821 1.821 6.302 Ba
0.000 0.000 8.608 Be
1.821 1.821 2.306 Be
0.000 0.000 3.605 Tl
1.821 1.821 9.907 Tl
```

=====

Here is a relaxed structure of Ba2BeTl from the Alexandria database. Energies are from PBE.

Properties
The energy relative to the elements is 293 meV per atom. The calculation puts the energy relative to the lowest polymorph listed for this composition at 262 meV per atom. The total moment is 0.000 μB/f.u.

Structure (POSCAR):
```
Ba2BeTl
1.0
5.134 0.000 0.000
0.000 5.134 0.000
0.000 0.000 10.262
Ba Be Tl
4 2 2
Cartesian
0.000 0.000 0.000 Ba
0.000 2.567 2.566 Ba
2.567 0.000 7.697 Ba
2.567 2.567 5.131 Ba
0.000 2.567 7.697 Be
2.567 0.000 2.566 Be
0.000 0.000 5.131 Tl
2.567 2.567 0.000 Tl
```